Entry 1:
# Tm3PaPd12 | the Alexandria database | PBE | relaxed
# * total magnetization: 0.00 Bohr magnetons per cell
# * E_form: -14.80 eV/f.u.
# * calculated density: 12.08 g/cm3
data_Tm3PaPd12
_chemical_formula_sum 'Tm3 Pa1 Pd12'
_cell_length_a 4.116
_cell_length_b 4.116
_cell_length_c 16.345
_cell_angle_alpha 90.00
_cell_angle_beta 90.00
_cell_angle_gamma 90.00
_symmetry_space_group_name_H-M 'P 4/m m m'
_symmetry_Int_Tables_number 123
_symmetry_space_group_name_Hall '-P 4 2'
loop_
_atom_site_label
_atom_site_fract_x
_atom_site_fract_y
_atom_site_fract_z
_atom_site_occupancy
Tm1 0.000 0.000 0.000 1
Tm2 0.000 0.000 0.244 1
Pa1 0.000 0.000 0.500 1
Pd1 0.000 0.500 0.125 1
Pd2 0.000 0.500 0.377 1
Pd3 0.500 0.500 0.000 1
Pd4 0.500 0.500 0.251 1
Pd5 0.500 0.500 0.500 1

Entry 2:
# NaLiCr2 | the Alexandria database | PBE | relaxed
# * total magnetization: 37.58 Bohr magnetons per cell
# * E_form: 4.02 eV/f.u.
# * calculated density: 2.65 g/cm3
data_NaLiCr2
_chemical_formula_sum 'Na4 Li4 Cr8'
_cell_length_a 6.953
_cell_length_b 6.953
_cell_length_c 6.953
_cell_angle_alpha 90.00
_cell_angle_beta 90.00
_cell_angle_gamma 90.00
_symmetry_space_group_name_H-M 'F m -3 m'
_symmetry_Int_Tables_number 225
_symmetry_space_group_name_Hall '-F 4 2 3'
loop_
_atom_site_label
_atom_site_fract_x
_atom_site_fract_y
_atom_site_fract_z
_atom_site_occupancy
Na1 0.000 0.000 0.000 1
Li1 0.000 0.000 0.500 1
Cr1 0.250 0.250 0.250 1

Entry 3:
# LaHfSe3 | the Alexandria database | PBE | relaxed
# * formation energy without anion corrections: -1.612 eV per atom
# * total magnetization: 0.05 Bohr magnetons per cell
# * calculated density: 7.03 g/cm3
data_LaHfSe3
_chemical_formula_sum 'La4 Hf4 Se12'
_cell_length_a 15.204
_cell_length_b 3.928
_cell_length_c 8.779
_cell_angle_alpha 90.00
_cell_angle_beta 91.62
_cell_angle_gamma 90.00
_symmetry_space_group_name_H-M 'C 1 2/m 1'
_symmetry_Int_Tables_number 12
loop_
_symmetry_equiv_pos_as_xyz
'x,y,z'
'-x,-y,-z'
'-x,y,-z'
'x,-y,z'
'x+1/2,y+1/2,z'
'-x+1/2,-y+1/2,-z'
'-x+1/2,y+1/2,-z'
'x+1/2,-y+1/2,z'
loop_
_atom_site_label
_atom_site_fract_x
_atom_site_fract_y
_atom_site_fract_z
_atom_site_occupancy
La1 0.108 0.000 0.408 1
Hf1 0.194 0.500 0.855 1
Se1 0.047 0.500 0.673 1
Se2 0.136 0.000 0.039 1
Se3 0.250 0.000 0.667 1

Entry 4:
# Cd2MoPb | the Alexandria database | PBE | relaxed
# * total magnetization: 0.00 Bohr magnetons per cell
# * E_form: 1.82 eV/f.u.
# * calculated density: 9.53 g/cm3
data_Cd2MoPb
_chemical_formula_sum 'Cd6 Mo3 Pb3'
_cell_length_a 3.0456
_cell_length_b 3.0456
_cell_length_c 34.3434
_cell_angle_alpha 90.00
_cell_angle_beta 90.00
_cell_angle_gamma 120.00
_symmetry_space_group_name_H-M 'R 3 m'
_symmetry_Int_Tables_number 160
_symmetry_space_group_name_Hall 'R 3 -2"'
loop_
_atom_site_label
_atom_site_fract_x
_atom_site_fract_y
_atom_site_fract_z
_atom_site_occupancy
Cd1 0.0000 0.0000 0.0000 1
Cd2 0.0000 0.0000 0.2485 1
Mo1 0.0000 0.0000 0.5117 1
Pb1 0.0000 0.0000 0.7707 1

Entry 5:
# YSe2O | the Alexandria database | PBE | relaxed
# * formation energy without anion corrections: 0.366 eV per atom
# * total magnetization: 0.00 Bohr magnetons per cell
# * calculated density: 5.19 g/cm3
data_YSe2O
_chemical_formula_sum 'Y3 Se6 O3'
_cell_length_a 3.3769
_cell_length_b 3.3769
_cell_length_c 25.5424
_cell_angle_alpha 90.00
_cell_angle_beta 90.00
_cell_angle_gamma 120.00
_symmetry_space_group_name_H-M 'R -3 m'
_symmetry_Int_Tables_number 166
_symmetry_space_group_name_Hall '-R 3 2"'
loop_
_atom_site_label
_atom_site_fract_x
_atom_site_fract_y
_atom_site_fract_z
_atom_site_occupancy
Y1 0.0000 0.0000 0.0000 1
Se1 0.0000 0.0000 0.1077 1
O1 0.0000 0.0000 0.5000 1

Entry 6:
# MgZnTeN2 | the Alexandria database | PBE | relaxed
# * formation energy without anion corrections: 1.163 eV per atom
# * total magnetization: 4.19 Bohr magnetons per cell
# * calculated density: 3.83 g/cm3
data_MgZnTeN2
_chemical_formula_sum 'Mg1 Zn1 Te1 N2'
_cell_length_a 4.131
_cell_length_b 4.131
_cell_length_c 6.234
_cell_angle_alpha 90.00
_cell_angle_beta 90.00
_cell_angle_gamma 90.00
_symmetry_space_group_name_H-M 'P 4/m m m'
_symmetry_Int_Tables_number 123
_symmetry_space_group_name_Hall '-P 4 2'
loop_
_atom_site_label
_atom_site_fract_x
_atom_site_fract_y
_atom_site_fract_z
_atom_site_occupancy
Mg1 0.000 0.000 0.000 1
Zn1 0.500 0.500 0.500 1
Te1 0.000 0.000 0.500 1
N1 0.000 0.500 0.000 1

Entry 7:
# KSrSi3 | the Alexandria database | PBE | relaxed
# * formation energy without anion corrections: 1.167 eV per atom
# * total magnetization: 0.80 Bohr magnetons per cell
# * calculated density: 1.86 g/cm3
data_KSrSi3
_chemical_formula_sum 'K1 Sr1 Si3'
_cell_length_a 5.735
_cell_length_b 5.735
_cell_length_c 5.735
_cell_angle_alpha 90.00
_cell_angle_beta 90.00
_cell_angle_gamma 90.00
_symmetry_space_group_name_H-M 'P m -3 m'
_symmetry_Int_Tables_number 221
_symmetry_space_group_name_Hall '-P 4 2 3'
loop_
_atom_site_label
_atom_site_fract_x
_atom_site_fract_y
_atom_site_fract_z
_atom_site_occupancy
K1 0.000 0.000 0.000 1
Sr1 0.500 0.500 0.500 1
Si1 0.000 0.500 0.500 1

Entry 8:
# LiZrOs2 | the Alexandria database | PBE | relaxed
# * total magnetization: 0.00 Bohr magnetons per cell
# * E_form: 1.21 eV/f.u.
# * calculated density: 11.93 g/cm3
data_LiZrOs2
_chemical_formula_sum 'Li3 Zr3 Os6'
_cell_length_a 2.8029
_cell_length_b 2.8029
_cell_length_c 29.3827
_cell_angle_alpha 90.00
_cell_angle_beta 90.00
_cell_angle_gamma 120.00
_symmetry_space_group_name_H-M 'R 3 m'
_symmetry_Int_Tables_number 160
_symmetry_space_group_name_Hall 'R 3 -2"'
loop_
_atom_site_label
_atom_site_fract_x
_atom_site_fract_y
_atom_site_fract_z
_atom_site_occupancy
Li1 0.0000 0.0000 0.0000 1
Zr1 0.0000 0.0000 0.7640 1
Os1 0.0000 0.0000 0.2550 1
Os2 0.0000 0.0000 0.5178 1

Entry 9:
# TaNiRu | the Alexandria database | PBE | relaxed
# * total magnetization: 0.00 Bohr magnetons per cell
# * E_form: -0.40 eV/f.u.
# * calculated density: 12.95 g/cm3
data_TaNiRu
_chemical_formula_sum 'Ta4 Ni4 Ru4'
_cell_length_a 8.334
_cell_length_b 4.559
_cell_length_c 5.417
_cell_angle_alpha 90.00
_cell_angle_beta 121.89
_cell_angle_gamma 90.00
_symmetry_space_group_name_H-M 'C 1 2/m 1'
_symmetry_Int_Tables_number 12
loop_
_symmetry_equiv_pos_as_xyz
'x,y,z'
'-x,-y,-z'
'-x,y,-z'
'x,-y,z'
'x+1/2,y+1/2,z'
'-x+1/2,-y+1/2,-z'
'-x+1/2,y+1/2,-z'
'x+1/2,-y+1/2,z'
loop_
_atom_site_label
_atom_site_fract_x
_atom_site_fract_y
_atom_site_fract_z
_atom_site_occupancy
Ta1 0.188 0.000 0.263 1
Ni1 0.150 0.000 0.732 1
Ru1 0.001 0.500 0.230 1

Entry 10:
# AcPm6Pr2 | the Alexandria database | PBE | relaxed
# * total magnetization: 0.00 Bohr magnetons per cell
# * E_form: 0.23 eV/f.u.
# * calculated density: 7.07 g/cm3
data_AcPm6Pr2
_chemical_formula_sum 'Ac1 Pm6 Pr2'
_cell_length_a 5.241
_cell_length_b 6.420
_cell_length_c 11.112
_cell_angle_alpha 73.27
_cell_angle_beta 76.42
_cell_angle_gamma 65.96
_symmetry_space_group_name_H-M 'P -1'
_symmetry_Int_Tables_number 2
loop_
_symmetry_equiv_pos_as_xyz
'x,y,z'
'-x,-y,-z'
loop_
_atom_site_label
_atom_site_fract_x
_atom_site_fract_y
_atom_site_fract_z
_atom_site_occupancy
Ac1 0.000 0.000 0.000 1
Pm1 0.002 0.333 0.664 1
Pm2 0.330 0.115 0.225 1
Pm3 0.335 0.445 0.885 1
Pr1 0.333 0.778 0.556 1

Entry 11:
# PmLuCo | the Alexandria database | PBE | relaxed
# * total magnetization: 1.49 Bohr magnetons per cell
# * E_form: -0.27 eV/f.u.
# * calculated density: 8.78 g/cm3
data_PmLuCo
_chemical_formula_sum 'Pm2 Lu2 Co2'
_cell_length_a 3.369
_cell_length_b 3.369
_cell_length_c 12.625
_cell_angle_alpha 90.00
_cell_angle_beta 90.00
_cell_angle_gamma 90.00
_symmetry_space_group_name_H-M 'I 4 m m'
_symmetry_Int_Tables_number 107
_symmetry_space_group_name_Hall 'I 4 -2'
loop_
_atom_site_label
_atom_site_fract_x
_atom_site_fract_y
_atom_site_fract_z
_atom_site_occupancy
Pm1 0.000 0.000 0.000 1
Lu1 0.000 0.000 0.258 1
Co1 0.000 0.000 0.639 1

Entry 12:
# BaLaAuCl2 | the Alexandria database | PBE | relaxed
# * formation energy without anion corrections: -0.197 eV per atom
# * total magnetization: 2.10 Bohr magnetons per cell
# * calculated density: 4.98 g/cm3
data_BaLaAuCl2
_chemical_formula_sum 'Ba1 La1 Au1 Cl2'
_cell_length_a 5.514
_cell_length_b 5.514
_cell_length_c 5.965
_cell_angle_alpha 90.00
_cell_angle_beta 90.00
_cell_angle_gamma 90.00
_symmetry_space_group_name_H-M 'P 4/m m m'
_symmetry_Int_Tables_number 123
_symmetry_space_group_name_Hall '-P 4 2'
loop_
_atom_site_label
_atom_site_fract_x
_atom_site_fract_y
_atom_site_fract_z
_atom_site_occupancy
Ba1 0.000 0.000 0.000 1
La1 0.500 0.500 0.000 1
Au1 0.000 0.000 0.500 1
Cl1 0.000 0.500 0.500 1

Entry 13:
# SrPaZn4 | the Alexandria database | PBE | relaxed
# * total magnetization: 0.82 Bohr magnetons per cell
# * E_form: 0.14 eV/f.u.
# * calculated density: 7.91 g/cm3
data_SrPaZn4
_chemical_formula_sum 'Sr4 Pa4 Zn16'
_cell_length_a 7.870
_cell_length_b 7.870
_cell_length_c 7.870
_cell_angle_alpha 90.00
_cell_angle_beta 90.00
_cell_angle_gamma 90.00
_symmetry_space_group_name_H-M 'F -4 3 m'
_symmetry_Int_Tables_number 216
_symmetry_space_group_name_Hall 'F -4 2 3'
loop_
_atom_site_label
_atom_site_fract_x
_atom_site_fract_y
_atom_site_fract_z
_atom_site_occupancy
Sr1 0.000 0.000 0.000 1
Pa1 0.250 0.250 0.250 1
Zn1 0.124 0.124 0.624 1

Entry 14:
# CrP | the Alexandria database | PBE | relaxed
# * total magnetization: 0.00 Bohr magnetons per cell
# * E_form: 0.25 eV/f.u.
# * calculated density: 4.70 g/cm3
data_CrP
_chemical_formula_sum 'Cr2 P2'
_cell_length_a 2.6835
_cell_length_b 2.6835
_cell_length_c 9.3941
_cell_angle_alpha 90.00
_cell_angle_beta 90.00
_cell_angle_gamma 120.00
_symmetry_space_group_name_H-M 'P -3 m 1'
_symmetry_Int_Tables_number 164
_symmetry_space_group_name_Hall '-P 3 2"'
loop_
_atom_site_label
_atom_site_fract_x
_atom_site_fract_y
_atom_site_fract_z
_atom_site_occupancy
Cr1 0.3333 0.6667 0.1013 1
P1 0.3333 0.6667 0.7001 1

Entry 15:
# SiNi | the Alexandria database | PBE | relaxed
# * formation energy without anion corrections: -0.264 eV per atom
# * total magnetization: 0.00 Bohr magnetons per cell
# * calculated density: 6.18 g/cm3
data_SiNi
_chemical_formula_sum 'Si6 Ni6'
_cell_length_a 10.359
_cell_length_b 2.773
_cell_length_c 5.004
_cell_angle_alpha 90.00
_cell_angle_beta 103.28
_cell_angle_gamma 90.00
_symmetry_space_group_name_H-M 'C 1 m 1'
_symmetry_Int_Tables_number 8
loop_
_symmetry_equiv_pos_as_xyz
'x,y,z'
'x,-y,z'
'x+1/2,y+1/2,z'
'x+1/2,-y+1/2,z'
loop_
_atom_site_label
_atom_site_fract_x
_atom_site_fract_y
_atom_site_fract_z
_atom_site_occupancy
Si1 0.000 0.000 0.000 1
Si2 0.001 0.000 0.525 1
Si3 0.202 0.500 0.878 1
Ni1 0.145 0.500 0.334 1
Ni2 0.336 0.000 0.678 1
Ni3 0.361 0.000 0.194 1

Entry 16:
# TaAl2Zn | the Alexandria database | PBE | relaxed
# * total magnetization: 0.00 Bohr magnetons per cell
# * E_form: -0.71 eV/f.u.
# * calculated density: 7.87 g/cm3
data_TaAl2Zn
_chemical_formula_sum 'Ta2 Al4 Zn2'
_cell_length_a 3.793
_cell_length_b 3.793
_cell_length_c 8.809
_cell_angle_alpha 90.00
_cell_angle_beta 90.00
_cell_angle_gamma 90.00
_symmetry_space_group_name_H-M 'I -4 m 2'
_symmetry_Int_Tables_number 119
_symmetry_space_group_name_Hall 'I -4 -2'
loop_
_atom_site_label
_atom_site_fract_x
_atom_site_fract_y
_atom_site_fract_z
_atom_site_occupancy
Ta1 0.000 0.000 0.000 1
Al1 0.000 0.000 0.500 1
Al2 0.000 0.500 0.750 1
Zn1 0.000 0.500 0.250 1

Entry 17:
# RbPt3O | the Alexandria database | PBE | relaxed
# * formation energy without anion corrections: 0.662 eV per atom
# * total magnetization: 0.00 Bohr magnetons per cell
# * calculated density: 12.41 g/cm3
data_RbPt3O
_chemical_formula_sum 'Rb1 Pt3 O1'
_cell_length_a 4.512
_cell_length_b 4.512
_cell_length_c 4.512
_cell_angle_alpha 90.00
_cell_angle_beta 90.00
_cell_angle_gamma 90.00
_symmetry_space_group_name_H-M 'P m -3 m'
_symmetry_Int_Tables_number 221
_symmetry_space_group_name_Hall '-P 4 2 3'
loop_
_atom_site_label
_atom_site_fract_x
_atom_site_fract_y
_atom_site_fract_z
_atom_site_occupancy
Rb1 0.000 0.000 0.000 1
Pt1 0.000 0.500 0.500 1
O1 0.500 0.500 0.500 1

Entry 18:
# CuTe2 | the Alexandria database | PBE | relaxed
# * formation energy without anion corrections: 0.242 eV per atom
# * total magnetization: 0.00 Bohr magnetons per cell
# * calculated density: 7.34 g/cm3
data_CuTe2
_chemical_formula_sum 'Cu4 Te8'
_cell_length_a 6.247
_cell_length_b 6.247
_cell_length_c 7.395
_cell_angle_alpha 90.00
_cell_angle_beta 90.00
_cell_angle_gamma 90.00
_symmetry_space_group_name_H-M 'I 4/m c m'
_symmetry_Int_Tables_number 140
_symmetry_space_group_name_Hall '-I 4 2c'
loop_
_atom_site_label
_atom_site_fract_x
_atom_site_fract_y
_atom_site_fract_z
_atom_site_occupancy
Cu1 0.000 0.000 0.250 1
Te1 0.166 0.334 0.000 1